A relaxed structure of GdNb2B, computed with PBE.

```
4
Lattice="3.223 0.000 0.000 1.612 2.791 0.000 1.612 0.930 8.663" Properties=species:S:1:pos:R:3 pbc="T T T"
Nb 1.612 0.930 5.576
Nb 4.835 2.791 3.087
Gd 0.000 0.000 0.000
B 3.223 1.861 4.331
```

Summary:
electronic total energy = -10.1665 eV per atom
spin magnetization = 7.5 μB/f.u.
calculated formation energy = 0.0580 eV per atom

A relaxed structure of GdNi3B, computed with PBE.

```
5
Lattice="-0.585 3.987 -0.319 -3.737 -0.430 1.481 1.427 0.509 3.748" Properties=species:S:1:pos:R:3 pbc="T T T"
Gd -1.447 2.034 2.455
Ni -1.868 -0.215 0.741
Ni 0.714 0.255 1.874
Ni -0.293 1.994 -0.160
B 0.000 0.000 0.000
```

Summary:
electronic total energy = -7.9760 eV per atom
spin magnetization = 7.3 μB/f.u.
calculated formation energy = -0.3555 eV per atom

A relaxed structure of GdNi2B, computed with PBE.

```
4
Lattice="-0.453 -3.055 -1.244 0.701 -2.674 1.855 -6.145 -1.932 2.526" Properties=species:S:1:pos:R:3 pbc="T T T"
Ni -3.683 -1.923 1.608
Ni -2.213 -5.737 1.529
B -2.948 -3.830 1.569
Gd 0.000 0.000 0.000
```

Summary:
electronic total energy = -7.9699 eV per atom
spin magnetization = 7.1 μB/f.u.
calculated formation energy = 0.1103 eV per atom

A relaxed structure of GdNi4B, computed with PBE.

```
12
Lattice="-4.379 2.034 -1.315 0.092 -4.204 2.712 -0.003 3.779 5.857" Properties=species:S:1:pos:R:3 pbc="T T T"
Ni -2.889 -0.045 0.028
Ni -1.398 -2.125 1.370
Ni -2.146 1.587 4.840
Ni -2.192 3.689 3.484
Ni 0.044 0.570 5.497
Ni -2.144 0.022 2.415
Ni -2.190 2.124 1.059
Ni 0.045 -0.995 3.072
B -1.400 -0.235 4.299
B -2.890 1.844 2.956
Gd -0.002 1.889 2.929
Gd 0.000 0.000 0.000
```

Summary:
electronic total energy = -7.7863 eV per atom
spin magnetization = 7.0 μB/f.u.
calculated formation energy = -0.4724 eV per atom

The lowest calculated formation energy belongs to which entry?
GdNi4B

Copy entry 4 word for word.
A relaxed structure of GdNi4B, computed with PBE.

```
12
Lattice="-4.379 2.034 -1.315 0.092 -4.204 2.712 -0.003 3.779 5.857" Properties=species:S:1:pos:R:3 pbc="T T T"
Ni -2.889 -0.045 0.028
Ni -1.398 -2.125 1.370
Ni -2.146 1.587 4.840
Ni -2.192 3.689 3.484
Ni 0.044 0.570 5.497
Ni -2.144 0.022 2.415
Ni -2.190 2.124 1.059
Ni 0.045 -0.995 3.072
B -1.400 -0.235 4.299
B -2.890 1.844 2.956
Gd -0.002 1.889 2.929
Gd 0.000 0.000 0.000
```

Summary:
electronic total energy = -7.7863 eV per atom
spin magnetization = 7.0 μB/f.u.
calculated formation energy = -0.4724 eV per atom

Which of these has the lowest calculated formation energy?
GdNi4B